PBE Ac5Pm2Sm5, optimized geometry; E_form = 4.17 kJ per mole of atoms
1.0
8.013 -2.674 0.000
8.013 2.674 0.000
-5.341 0.000 10.741
Ac Pm Sm
5 2 5
direct
0.000 0.000 0.000
0.161 0.161 0.496
0.252 0.252 0.246
0.748 0.748 0.754
0.839 0.839 0.504
0.083 0.083 0.757
0.917 0.917 0.243
0.332 0.332 0.999
0.421 0.421 0.752
0.500 0.500 0.500
0.579 0.579 0.248
0.668 0.668 0.001


PBE Ac2Pm6Sm, optimized geometry; E_form = 17.73 kJ per mole of atoms
1.0
6.711 -3.874 0.000
6.711 3.874 0.000
-0.001 0.000 6.436
Ac Pm Sm
2 6 1
direct
0.166 0.166 0.296
0.834 0.834 0.704
0.127 0.686 0.202
0.314 0.314 0.797
0.314 0.873 0.798
0.686 0.127 0.202
0.686 0.686 0.203
0.873 0.314 0.798
0.500 0.500 0.500


PBE Ac8Pm5Sm, optimized geometry; E_form = 17.55 kJ per mole of atoms
1.0
6.955 -5.859 0.000
6.955 5.859 0.000
-6.907 0.000 7.077
Ac Pm Sm
8 5 1
direct
0.057 0.057 0.362
0.210 0.570 0.731
0.266 0.202 0.180
0.390 0.202 0.850
0.430 0.790 0.269
0.798 0.610 0.150
0.798 0.734 0.820
0.943 0.943 0.638
0.042 0.419 0.918
0.304 0.696 0.500
0.577 0.301 0.629
0.581 0.958 0.082
0.699 0.423 0.371
0.821 0.179 0.000


| no. | calculated total energy (eV per atom) |
| --- | --- |
| 1 | -4.427 |
| 2 | -4.421 |
| 3 | -4.200 |